Record 1
Below is an optimized crystal structure of PmMg2Zn2Sn2, with properties calculated at the PBE-GGA level.

```
PmMg2Zn2Sn2
1.0
2.379 1.374 8.068
-2.379 1.374 8.068
0.000 -2.747 8.068
Pm Mg Zn Sn
1 2 2 2
Cartesian
0.000 0.000 0.000
0.000 0.000 3.324
0.000 0.000 20.880
0.000 0.000 10.743
0.000 0.000 13.460
0.000 0.000 6.266
0.000 0.000 17.938
```

***

Record 2
Below is an optimized crystal structure of PmMgZrSn, with properties calculated at the PBE-GGA level.

```
PmMgZrSn
1.0
0.000 3.677 3.677
3.677 0.000 3.677
3.677 3.677 0.000
Pm Mg Zr Sn
1 1 1 1
Cartesian
0.000 0.000 0.000
5.516 5.516 5.516
3.677 3.677 3.677
1.839 1.839 1.839
```

***

Record 3
Below is an optimized crystal structure of SrPm5Mg4, with properties calculated at the PBE-GGA level.

```
SrPm5Mg4
1.0
3.893 0.000 0.000
0.000 3.893 0.000
0.000 0.000 20.905
Sr Pm Mg
1 5 4
Cartesian
0.000 0.000 0.000
1.946 1.946 2.883
1.946 1.946 6.613
1.946 1.946 10.452
1.946 1.946 14.292
1.946 1.946 18.021
0.000 0.000 4.747
0.000 0.000 8.530
0.000 0.000 12.374
0.000 0.000 16.158
```

***

Record 4
SrPm2Mg, optimized geometry, DFT PBE-GGA; ΔE to the lowest computed polymorph = 92.3 meV per atom
1.0
5.115 0.000 0.000
0.000 5.115 0.000
0.000 0.000 5.323
Sr Pm Mg
1 2 1
Cartesian
0.000 0.000 0.000
0.000 2.557 2.661
2.557 0.000 2.661
2.557 2.557 0.000

***

DFT formation energy, respectively: -0.2600, -0.2352, -0.0438, 0.1345 eV/atom.